LiNpP2 | GGA-PBE | optimized geometry

Computed properties:
Fermi-level density of states, states/eV/atom: 1.520
VASP energy, eV per cell: -27.9
Calculated formation energy, eV/f.u.: -2.24

a = 3.5278 Å, b = 4.3612 Å, c = 4.3612 Å
α = 90.00°, β = 90.00°, γ = 90.00°
Each line ends with the local moment (μB).
Sites, in units of the cell vectors:
Np (0.5000, 0.5000, 0.5000)  2.92
P (0.0000, 0.0000, 0.5000)  -0.11
P (0.0000, 0.5000, 0.0000)  -0.11
Li (0.5000, 0.0000, 0.0000)  0.03